Record 1
KYCl: optimized geometry, PBE.

Cell: 3.7554 3.7554 7.8104 Å, 90.00 90.00 120.00°
Space group P3m1 (No. 156)
Symmetry-distinct sites (fractional):
K 0.0000 0.0000 0.0000 (multiplicity 1)
Y 0.6667 0.3333 0.4409 (multiplicity 1)
Cl 0.3333 0.6667 0.6925 (multiplicity 1)

Summary:
Its offset from the most stable computed form is 0 meV/atom. For the energy relative to the elements, uncorrected, the calculation gives -837 meV per atom. For the total energy, the calculation gives -3.973 eV per atom.

***

Record 2
InTeMoC2: optimized geometry, PBE.

Cell: 4.133 4.133 5.794 Å, 90.00 90.00 90.00°
Space group P4/mmm (No. 123)
Symmetry-distinct sites (fractional):
In 0.000 0.000 0.000 (multiplicity 1)
Te 0.000 0.000 0.500 (multiplicity 1)
Mo 0.500 0.500 0.000 (multiplicity 1)
C 0.000 0.500 0.500 (multiplicity 2)

Summary:
For the energy relative to the elements, uncorrected, the calculation gives 2878 meV per atom. For the total energy, the calculation gives -4.154 eV per atom.

***

Record 3
NbSnMoRu: optimized geometry, PBE.

Cell: 6.473 6.473 6.473 Å, 90.00 90.00 90.00°
Space group F-43m (No. 216)
Symmetry-distinct sites (fractional):
Nb 0.000 0.000 0.000 (multiplicity 4)
Sn 0.000 0.000 0.500 (multiplicity 4)
Mo 0.250 0.250 0.250 (multiplicity 4)
Ru 0.250 0.250 0.750 (multiplicity 4)

Summary:
For the total energy, the calculation gives -8.625 eV per atom.

***

Record 4
PmY2Ho3Er6: optimized geometry, PBE.

Cell: 6.122 10.591 11.711 Å, 90.00 99.99 90.00°
Space group C2/m (No. 12)
Symmetry-distinct sites (fractional):
Pm 0.000 0.000 0.000 (multiplicity 2)
Y 0.000 0.333 0.000 (multiplicity 4)
Ho 0.000 0.167 0.500 (multiplicity 4)
Ho 0.000 0.500 0.500 (multiplicity 2)
Er 0.249 0.000 0.748 (multiplicity 4)
Er 0.249 0.333 0.748 (multiplicity 8)

Summary:
For the total energy, the calculation gives -4.877 eV per atom.

***

Record 5
Be3SnTe: optimized geometry, PBE.

Cell: 4.697 4.697 4.697 Å, 90.00 90.00 90.00°
Space group Pm-3m (No. 221)
Symmetry-distinct sites (fractional):
Be 0.000 0.000 0.500 (multiplicity 3)
Sn 0.000 0.000 0.000 (multiplicity 1)
Te 0.500 0.500 0.500 (multiplicity 1)

Summary:
Its offset from the most stable computed form is 0 meV/atom. For the energy relative to the elements, uncorrected, the calculation gives 933 meV per atom. For the total energy, the calculation gives -2.732 eV per atom.

***

Record 6
SrGaPb3: optimized geometry, PBE.

Cell: 6.116 6.116 6.116 Å, 90.00 90.00 90.00°
Space group Pm-3m (No. 221)
Symmetry-distinct sites (fractional):
Sr 0.000 0.000 0.000 (multiplicity 1)
Ga 0.500 0.500 0.500 (multiplicity 1)
Pb 0.000 0.000 0.500 (multiplicity 3)

Summary:
Its offset from the most stable computed form is 761 meV/atom. For the total energy, the calculation gives -2.404 eV per atom.

***

Record 7
SiIrN2O: optimized geometry, PBE.

Cell: 3.670 3.670 3.426 Å, 90.00 90.00 90.00°
Space group P4/mmm (No. 123)
Symmetry-distinct sites (fractional):
Si 0.000 0.000 0.000 (multiplicity 1)
Ir 0.500 0.500 0.500 (multiplicity 1)
N 0.000 0.500 0.000 (multiplicity 2)
O 0.000 0.000 0.500 (multiplicity 1)

Summary:
For the energy relative to the elements, uncorrected, the calculation gives 438 meV per atom. For the total energy, the calculation gives -6.741 eV per atom.

***

Record 8
KBa2Os: optimized geometry, PBE.

Cell: 8.037 4.600 11.185 Å, 90.00 102.92 90.00°
Space group C2/m (No. 12)
Symmetry-distinct sites (fractional):
K 0.000 0.000 0.000 (multiplicity 2)
Ba 0.214 0.000 0.647 (multiplicity 4)
Os 0.000 0.500 0.500 (multiplicity 2)

Summary:
Its offset from the most stable computed form is 76 meV/atom. For the total energy, the calculation gives -3.422 eV per atom.